## MoHN2O (PBE with a Hubbard U)

Data for an optimized crystal structure of MoHN2O.

The value obtained for the density of states at the Fermi level is 2.6 states/eV/f.u. The magnetization is 0.10 μB/f.u. The calculation puts the raw total energy at -5.1241 eV/atom.

a b c (Å): 3.026 3.026 4.122
angles (deg): 90.00 90.00 90.00
Space group P4/mmm (No. 123)
Inequivalent atoms, fractional coordinates:
Mo  0.000  0.000  0.000 [1 per cell]
H  0.500  0.500  0.500 [1 per cell]
N  0.000  0.500  0.500 [2 per cell]
O  0.500  0.500  0.000 [1 per cell]